1.
Below is TiZnRuO6 after structural relaxation, with properties calculated at the GGA-PBE level.

```
18
Lattice="5.0539 0.0000 0.0000 -2.5269 4.3768 0.0000 0.0000 0.0000 8.9969" Properties=species:S:1:pos:R:3 pbc="T T T"
Ti 0.0000 2.9178 2.2492
Ti 2.5269 1.4589 6.7477
Zn 0.0000 0.0000 0.0000
Zn 0.0000 0.0000 4.4985
Ru 0.0000 2.9178 6.7477
Ru 2.5269 1.4589 2.2492
O -0.8726 1.5416 5.6879
O -1.6282 2.8503 7.8075
O 0.8726 1.5416 7.8075
O -0.7555 4.3617 5.6879
O 1.7714 0.0151 1.1894
O 0.8988 1.5265 3.3090
O 1.6282 2.8503 5.6879
O 0.7555 4.3617 7.8075
O 3.2825 0.0151 3.3090
O 1.6543 2.8352 1.1894
O 4.1551 1.5265 1.1894
O 3.3996 2.8352 3.3090
```


2.
Below is Tl2Ru2O7 after structural relaxation, with properties calculated at the GGA-PBE level.

```
22
Lattice="0.0000 5.1905 5.1905 5.1905 0.0000 5.1905 5.1905 5.1905 0.0000" Properties=species:S:1:pos:R:3 pbc="T T T"
Tl 0.0000 0.0000 0.0000
Tl 2.5953 2.5953 0.0000
Tl 2.5953 0.0000 2.5953
Tl 0.0000 2.5953 2.5953
Ru 5.1905 2.5953 2.5953
Ru 2.5953 5.1905 2.5953
Ru 2.5953 2.5953 5.1905
Ru 5.1905 5.1905 5.1905
O 1.2976 1.2976 1.2976
O 3.8929 3.8929 1.8610
O 3.8929 1.8610 3.8929
O 5.9248 3.8929 3.8929
O 6.4882 6.4882 4.4563
O 6.4882 4.4563 6.4882
O 8.5201 6.4882 6.4882
O 1.8610 3.8929 3.8929
O 3.8929 5.9248 3.8929
O 3.8929 3.8929 5.9248
O 4.4563 6.4882 6.4882
O 6.4882 8.5201 6.4882
O 6.4882 6.4882 8.5201
O 9.0834 9.0834 9.0834
```


3.
Below is Tl2RuO4 after structural relaxation, with properties calculated at the GGA-PBE level.

```
14
Lattice="6.2451 0.0000 0.0000 0.0000 6.1710 0.0000 -2.8909 0.0000 8.0612" Properties=species:S:1:pos:R:3 pbc="T T T"
Tl 0.4887 1.5427 1.2115
Tl 0.1966 4.6282 3.9177
Tl 3.1577 1.5427 4.1435
Tl 2.8656 4.6282 6.8497
Ru -0.0411 1.5427 5.9235
Ru 3.3954 4.6282 2.1378
O -1.6541 1.5427 6.7141
O -0.4447 1.5427 4.1393
O 0.9026 0.0373 6.1645
O 0.9026 3.0482 6.1645
O 2.4516 3.1227 1.8967
O 2.4516 6.1337 1.8967
O 3.7990 4.6282 3.9219
O 5.0084 4.6282 1.3472
```

Computed properties:
E above lowest polymorph, meV/atom: 0


4.
Below is Tl2Ru3O8 after structural relaxation, with properties calculated at the GGA-PBE level.

```
13
Lattice="6.4655 -3.1537 0.0000 6.4655 3.1537 0.0000 -1.8246 0.0000 5.0497" Properties=species:S:1:pos:R:3 pbc="T T T"
Tl 2.4455 0.0000 0.8868
Tl 8.6610 0.0000 4.1628
Ru 5.5532 1.6276 2.5248
Ru 6.4655 0.0000 0.0000
Ru 5.5532 -1.6276 2.5248
O 0.2989 0.0000 2.5016
O 5.2017 1.3515 0.6517
O 5.9047 1.3515 4.3980
O 4.3074 0.0000 3.0608
O 6.7990 0.0000 1.9888
O 5.2017 -1.3515 0.6517
O 5.9047 -1.3515 4.3980
O 10.8076 0.0000 2.5480
```

Computed properties:
E above lowest polymorph, meV/atom: 0


5.
Below is TlRuO2 after structural relaxation, with properties calculated at the GGA-PBE level.

```
4
Lattice="0.0000 2.9242 2.9242 2.9242 0.0000 2.9242 2.9242 2.9242 0.0000" Properties=species:S:1:pos:R:3 pbc="T T T"
Tl 0.0000 0.0000 0.0000
Ru 2.9242 2.9242 2.9242
O 1.4621 1.4621 1.4621
O 4.3862 4.3862 4.3862
```

Computed properties:
E above lowest polymorph, meV/atom: 714


6.
Below is TlRuO4 after structural relaxation, with properties calculated at the GGA-PBE level.

```
12
Lattice="5.9016 0.0000 0.0000 0.0000 4.9606 0.0000 -1.6341 0.0000 5.2927" Properties=species:S:1:pos:R:3 pbc="T T T"
Tl 0.0000 0.0000 0.0000
Tl -0.8170 2.4803 2.6463
Ru 2.1338 0.0000 2.6463
Ru 2.9508 2.4803 0.0000
O 0.4064 0.6543 2.0857
O -0.4106 1.8260 4.7321
O 1.2227 3.5155 3.5989
O 2.0398 3.9254 0.9526
O 2.2278 1.0352 4.3401
O 3.0448 1.4451 1.6938
O 4.6782 3.1346 0.5606
O 3.8612 4.3063 3.2069
```

Computed properties:
E above lowest polymorph, meV/atom: 43


Number 1: E_form (uncorrected) -1.562 eV/atom. Number 2: E_form (uncorrected) -0.858 eV/atom. Number 3: E_form (uncorrected) -0.773 eV/atom. Number 4: E_form (uncorrected) -0.853 eV/atom. Number 5: E_form (uncorrected) 0.267 eV/atom. Number 6: E_form (uncorrected) -0.735 eV/atom.